Record 1
Here is Rb3Tb3SbSe8 after structural relaxation from Alexandria. Energies are from PBE-GGA.

Symmetry   R-3m
D(E_F)   2.2 states/eV per cell
Formation energy without anion corrections   -21.3 eV per formula unit
E   -4.676 eV/atom

Cell lengths 8.385, 8.385, 9.492 Å; angles 116.22, 90.00, 120.00 degrees
Fractional coordinates of all 15 atoms:
Se (0.774, 0.548, 0.309)
Rb (0.000, 0.500, 0.000)
Se (0.226, 0.452, 0.691)
Rb (0.000, 0.000, 0.000)
Tb (0.000, 0.500, 0.500)
Se (0.732, 0.464, 0.695)
Tb (0.500, 0.000, 0.500)
Tb (0.500, 0.500, 0.500)
Se (0.774, 0.035, 0.309)
Se (0.226, 0.965, 0.691)
Rb (0.500, 0.500, 0.000)
Sb (0.000, 0.000, 0.500)
Se (0.739, 0.965, 0.691)
Se (0.268, 0.536, 0.305)
Se (0.261, 0.035, 0.309)

=====

Record 2
Here is NdMg2Tl4 after structural relaxation from Alexandria. Energies are from PBE-GGA.

ΔE_f   -0.17 eV/atom
Symmetry   P4/mmm
D(E_F)   3.2 states/eV per cell
E   -2.656 eV/atom

Cell lengths 5.103, 5.103, 7.461 Å; angles 90.00, 90.00, 90.00 degrees
Fractional coordinates of all 7 atoms:
Tl (0.500, 0.000, 0.281)
Nd (0.500, 0.500, 0.000)
Tl (0.500, 0.000, 0.719)
Mg (0.000, 0.000, 0.000)
Tl (0.000, 0.500, 0.281)
Tl (0.000, 0.500, 0.719)
Mg (0.500, 0.500, 0.500)

=====

Record 3
Here is KPrPbSe3 after structural relaxation from Alexandria. Energies are from PBE-GGA.

Symmetry   P2_1/m
Formation energy without anion corrections   -7.6 eV per formula unit
E   -4.603 eV/atom

Cell lengths 4.322, 9.134, 11.512 Å; angles 97.81, 90.00, 90.00 degrees
Fractional coordinates of all 12 atoms:
Se (0.250, 0.654, 0.404)
K (0.750, 0.852, 0.849)
Se (0.750, 0.406, 0.121)
Se (0.750, 0.868, 0.158)
Pb (0.250, 0.146, 0.595)
Se (0.250, 0.132, 0.842)
Pb (0.750, 0.854, 0.405)
K (0.250, 0.148, 0.151)
Se (0.250, 0.594, 0.879)
Pr (0.250, 0.630, 0.142)
Pr (0.750, 0.370, 0.858)
Se (0.750, 0.346, 0.596)

=====

Record 4
Here is AcP2Pb after structural relaxation from Alexandria. Energies are from PBE-GGA.

ΔE_f   -0.48 eV/atom
Symmetry   P4/mmm
D(E_F)   3.0 states/eV per cell
ΔE to the lowest computed polymorph   30 meV/atom
E   -5.139 eV/atom

Cell lengths 3.905, 5.045, 5.045 Å; angles 90.00, 90.00, 90.00 degrees
Fractional coordinates of all 4 atoms:
Pb (0.500, 0.500, 0.500)
Ac (0.500, 0.000, 0.000)
P (0.000, 0.000, 0.500)
P (0.000, 0.500, 0.000)

=====

no.,ρ (g cm⁻³)
1,4.97
2,8.63
3,4.60
4,8.29